1.
VASP calculation (meta-GGA SCAN) on a crystal of Ca4AlP relaxed with PBEsol.

Computed properties:
Symmetry = F-43m (216)
Total energy = -8.964 eV per atom

Lattice parameters (Å, degrees): 6.224 6.224 6.224 60.00 60.00 60.00
Last column: magnetic moment on the atom in μB.
Fractional positions:
Ca1 0.874 0.375 0.375  0.08
Ca2 0.375 0.874 0.375  0.08
Ca3 0.375 0.375 0.375  0.08
Ca4 0.375 0.375 0.874  0.08
Al1 0.000 0.000 0.000  0.06
P1 0.750 0.750 0.750  0.07



2.
VASP calculation (meta-GGA SCAN) on a crystal of SrLiBe2 relaxed with PBEsol.

Computed properties:
Symmetry = Fm-3m (225)
Total energy = -7.659 eV per atom

Lattice parameters (Å, degrees): 4.818 4.818 4.818 60.00 60.00 60.00
Last column: magnetic moment on the atom in μB.
Fractional positions:
Li1 0.000 0.000 0.000  0.01
Be1 0.250 0.250 0.250  0.05
Be2 0.750 0.750 0.750  0.05
Sr1 0.500 0.500 0.500  0.06



3.
VASP calculation (meta-GGA SCAN) on a crystal of HgPb2Au relaxed with PBEsol.

Computed properties:
Symmetry = C2/m (12)
Relative energy among the computed polymorphs = 0.0 meV per atom

Lattice parameters (Å, degrees): 3.758 4.581 6.883 102.44 90.00 114.22
Fractional positions:
Au1 0.000 0.000 0.500
Hg1 0.500 0.000 0.000
Pb1 0.738 0.477 0.717
Pb2 0.262 0.523 0.283



4.
VASP calculation (meta-GGA SCAN) on a crystal of YSb2 relaxed with PBEsol.

Computed properties:
E_form (uncorrected) = -2.09 eV/f.u.
Symmetry = C2/m (12)

Lattice parameters (Å, degrees): 5.005 5.938 6.045 104.20 90.00 114.93
Fractional positions:
Y1 0.378 0.757 0.707
Y2 0.622 0.243 0.293
Sb1 0.000 0.000 0.500
Sb2 0.704 0.409 0.831
Sb3 0.296 0.591 0.169
Sb4 0.000 0.000 0.000



5.
VASP calculation (meta-GGA SCAN) on a crystal of CdTcBS2 relaxed with PBEsol.

Computed properties:
E_form (uncorrected) = 10.32 eV/f.u.
Symmetry = P4/mmm (123)

Lattice parameters (Å, degrees): 4.785 4.785 5.192 90.00 90.00 90.00
Last column: magnetic moment on the atom in μB.
Fractional positions:
B1 0.500 0.500 0.500  -0.17
Tc1 0.000 0.000 0.500  3.61
S1 0.000 0.500 0.000  0.13
S2 0.500 0.000 0.000  0.13
Cd1 0.000 0.000 0.000  -0.01



6.
VASP calculation (meta-GGA SCAN) on a crystal of LaMg2 relaxed with PBEsol.

Computed properties:
Symmetry = Fd-3m (227)
Total energy = -17.835 eV per atom

Lattice parameters (Å, degrees): 6.134 6.134 6.134 60.00 60.00 60.00
Fractional positions:
La1 0.500 0.500 0.500
La2 0.750 0.750 0.750
Mg1 0.125 0.125 0.625
Mg2 0.625 0.125 0.125
Mg3 0.125 0.625 0.125
Mg4 0.125 0.125 0.125



7.
VASP calculation (meta-GGA SCAN) on a crystal of Mn3NiAg relaxed with PBEsol.

Computed properties:
Symmetry = Pm-3m (221)
Total energy = -20.062 eV per atom

Lattice parameters (Å, degrees): 4.432 4.432 4.432 90.00 90.00 90.00
Last column: magnetic moment on the atom in μB.
Fractional positions:
Mn1 0.000 0.500 0.000  4.07
Mn2 0.000 0.000 0.500  4.07
Mn3 0.500 0.000 0.000  4.07
Ni1 0.000 0.000 0.000  0.79
Ag1 0.500 0.500 0.500  -0.01



8.
VASP calculation (meta-GGA SCAN) on a crystal of BeSn3F relaxed with PBEsol.

Computed properties:
E_form (uncorrected) = 0.06 eV/f.u.
Symmetry = Pm-3m (221)
Relative energy among the computed polymorphs = 0.0 meV per atom

Lattice parameters (Å, degrees): 4.784 4.784 4.784 90.00 90.00 90.00
Fractional positions:
F1 0.500 0.500 0.500
Sn1 0.500 0.000 0.000
Sn2 0.000 0.500 0.000
Sn3 0.000 0.000 0.500
Be1 0.000 0.000 0.000



9.
VASP calculation (meta-GGA SCAN) on a crystal of InSb2P relaxed with PBEsol.

Computed properties:
E_form (uncorrected) = 1.20 eV/f.u.
Symmetry = Cm (8)

Lattice parameters (Å, degrees): 3.529 5.459 5.812 113.28 107.67 90.00
Fractional positions:
In1 0.531 0.513 0.062
Sb1 0.740 0.195 0.479
Sb2 0.970 0.955 0.940
P1 0.259 0.837 0.519



10.
VASP calculation (meta-GGA SCAN) on a crystal of BaSr relaxed with PBEsol.

Computed properties:
Symmetry = P4/mmm (123)
Relative energy among the computed polymorphs = 13.8 meV per atom

Lattice parameters (Å, degrees): 4.335 4.335 5.949 90.00 90.00 90.00
Fractional positions:
Sr1 0.500 0.500 0.500
Ba1 0.000 0.000 0.000



11.
VASP calculation (meta-GGA SCAN) on a crystal of CoSb3 relaxed with PBEsol.

Computed properties:
E_form (uncorrected) = 0.93 eV/f.u.
Symmetry = Cmcm (63)
Relative energy among the computed polymorphs = 402.3 meV per atom

Lattice parameters (Å, degrees): 3.746 7.559 7.559 115.57 90.00 90.00
Last column: magnetic moment on the atom in μB.
Fractional positions:
Sb1 0.250 0.374 0.183  -0.01
Sb2 0.750 0.626 0.817  -0.01
Sb3 0.750 0.183 0.374  -0.01
Sb4 0.250 0.767 0.233  -0.02
Sb5 0.750 0.233 0.767  -0.02
Sb6 0.250 0.817 0.626  -0.01
Co1 0.750 0.568 0.432  0.81
Co2 0.250 0.432 0.568  0.81



12.
VASP calculation (meta-GGA SCAN) on a crystal of SrTlAg2 relaxed with PBEsol.

Computed properties:
Symmetry = P4/mmm (123)
Total energy = -39.460 eV per atom

Lattice parameters (Å, degrees): 3.788 3.794 6.817 90.00 90.00 90.00
Fractional positions:
Tl1 0.500 0.500 0.500
Ag1 0.000 0.000 0.717
Ag2 0.000 0.000 0.283
Sr1 0.500 0.500 0.000



Repeat the ninth record exactly.
VASP calculation (meta-GGA SCAN) on a crystal of InSb2P relaxed with PBEsol.

Computed properties:
E_form (uncorrected) = 1.20 eV/f.u.
Symmetry = Cm (8)

Lattice parameters (Å, degrees): 3.529 5.459 5.812 113.28 107.67 90.00
Fractional positions:
In1 0.531 0.513 0.062
Sb1 0.740 0.195 0.479
Sb2 0.970 0.955 0.940
P1 0.259 0.837 0.519